(1)
{
  "formula": "Ca2ZrTc",
  "functional": "PBE",
  "state": "relaxed",
  "lattice_angstrom": [[-2.084, 2.084, 5.309], [2.084, -2.084, 5.309], [2.084, 2.084, -5.309]],
  "species": ["Ca", "Ca", "Zr", "Tc"],
  "frac_coords": [[0.250, 0.750, 0.500], [0.750, 0.250, 0.500], [0.000, 0.000, 0.000], [0.500, 0.500, 0.000]],
  "polymorph_energy_ev_per_atom": 0.393,
  "m_tot_mub_per_atom": 0.000,
  "ef_mev_per_atom": 480,
  "n_ef_per_ev_fu": 3.17
}

(2)
{
  "formula": "LiIrRh2",
  "functional": "PBE",
  "state": "relaxed",
  "lattice_angstrom": [[4.697, 0.000, 0.000], [0.000, 2.659, 0.000], [-1.731, 0.000, 4.413]],
  "species": ["Li", "Ir", "Rh", "Rh"],
  "frac_coords": [[0.000, 0.000, 0.000], [0.000, 0.500, 0.500], [0.500, 0.000, 0.500], [0.500, 0.500, 0.000]],
  "polymorph_energy_ev_per_atom": 0.039,
  "m_tot_mub_per_atom": 0.000,
  "ef_mev_per_atom": -83,
  "n_ef_per_ev_fu": 4.40
}

(3)
{
  "formula": "MnBeAlMo",
  "functional": "PBE",
  "state": "relaxed",
  "lattice_angstrom": [[0.000, 2.899, 2.899], [2.899, 0.000, 2.899], [2.899, 2.899, 0.000]],
  "species": ["Mn", "Be", "Al", "Mo"],
  "frac_coords": [[0.000, 0.000, 0.000], [0.500, 0.500, 0.500], [0.750, 0.750, 0.750], [0.250, 0.250, 0.250]],
  "m_tot_mub_per_atom": 0.000,
  "ef_mev_per_atom": -199,
  "n_ef_per_ev_fu": 0.60
}

(4)
{
  "formula": "InGaPd2",
  "functional": "PBE",
  "state": "relaxed",
  "lattice_angstrom": [[4.526, 0.000, 0.000], [0.000, 4.526, 0.000], [0.000, 0.000, 3.259]],
  "species": ["In", "Ga", "Pd", "Pd"],
  "frac_coords": [[0.000, 0.000, 0.000], [0.500, 0.500, 0.000], [0.000, 0.500, 0.500], [0.500, 0.000, 0.500]],
  "m_tot_mub_per_atom": 0.000,
  "ef_mev_per_atom": -490,
  "n_ef_per_ev_fu": 1.46
}

(5)
{
  "formula": "NaAl2I8",
  "functional": "PBE",
  "state": "relaxed",
  "lattice_angstrom": [[8.495, 0.000, 0.000], [-4.248, 7.357, 0.000], [0.000, 0.000, 8.885]],
  "species": ["Na", "Al", "Al", "I", "I", "I", "I", "I", "I", "I", "I"],
  "frac_coords": [[0.000, 0.000, 0.000], [0.333, 0.667, 0.666], [0.667, 0.333, 0.334], [0.167, 0.334, 0.751], [0.167, 0.833, 0.751], [0.333, 0.667, 0.379], [0.334, 0.167, 0.249], [0.666, 0.833, 0.751], [0.667, 0.333, 0.621], [0.833, 0.167, 0.249], [0.833, 0.666, 0.249]],
  "polymorph_energy_ev_per_atom": 0.058,
  "m_tot_mub_per_atom": 0.000,
  "n_ef_per_ev_fu": 16.49
}

(6)
{
  "formula": "HfCuTeI2",
  "functional": "PBE",
  "state": "relaxed",
  "lattice_angstrom": [[5.681, 0.000, 0.000], [0.000, 5.681, 0.000], [0.000, 0.000, 5.565]],
  "species": ["Hf", "Cu", "Te", "I", "I"],
  "frac_coords": [[0.000, 0.000, 0.000], [0.500, 0.500, 0.500], [0.000, 0.000, 0.500], [0.000, 0.500, 0.000], [0.500, 0.000, 0.000]],
  "polymorph_energy_ev_per_atom": 0.000,
  "m_tot_mub_per_atom": 0.000,
  "n_ef_per_ev_fu": 3.09
}

(7)
{
  "formula": "CeNd2Se5",
  "functional": "PBE",
  "state": "relaxed",
  "lattice_angstrom": [[-3.907, 3.907, 6.620], [3.907, -3.907, 6.620], [3.907, 3.907, -6.620]],
  "species": ["Ce", "Ce", "Nd", "Nd", "Nd", "Nd", "Se", "Se", "Se", "Se", "Se", "Se", "Se", "Se", "Se", "Se"],
  "frac_coords": [[0.250, 0.250, 0.000], [0.750, 0.750, 0.000], [0.154, 0.654, 0.809], [0.346, 0.154, 0.500], [0.654, 0.846, 0.500], [0.846, 0.346, 0.191], [0.000, 0.000, 0.000], [0.006, 0.191, 0.500], [0.191, 0.691, 0.184], [0.309, 0.494, 0.500], [0.494, 0.994, 0.184], [0.500, 0.500, 0.000], [0.506, 0.006, 0.816], [0.691, 0.506, 0.500], [0.809, 0.309, 0.816], [0.994, 0.809, 0.500]],
  "m_tot_mub_per_atom": 0.028,
  "e_tot_ev_per_atom": -5.773,
  "n_ef_per_ev_fu": 4.89
}

(8)
{
  "formula": "Rb3Pm2SmO6",
  "functional": "PBE",
  "state": "relaxed",
  "lattice_angstrom": [[3.143, -5.444, 0.000], [3.143, 5.444, 0.000], [-2.096, 0.000, 6.600]],
  "species": ["Rb", "Rb", "Rb", "Pm", "Pm", "Sm", "O", "O", "O", "O", "O", "O"],
  "frac_coords": [[0.000, 0.000, 0.000], [0.334, 0.666, 0.000], [0.666, 0.334, 0.000], [0.167, 0.833, 0.500], [0.833, 0.167, 0.500], [0.500, 0.500, 0.500], [0.108, 0.440, 0.321], [0.228, 0.228, 0.679], [0.440, 0.108, 0.321], [0.560, 0.892, 0.679], [0.772, 0.772, 0.321], [0.892, 0.560, 0.679]],
  "m_tot_mub_per_atom": 0.000,
  "e_tot_ev_per_atom": -6.501,
  "n_ef_per_ev_fu": 0.00
}

(9)
{
  "formula": "KBeSeBr2",
  "functional": "PBE",
  "state": "relaxed",
  "lattice_angstrom": [[5.372, 0.000, 0.000], [0.000, 5.372, 0.000], [0.000, 0.000, 4.428]],
  "species": ["K", "Be", "Se", "Br", "Br"],
  "frac_coords": [[0.000, 0.000, 0.000], [0.500, 0.500, 0.500], [0.500, 0.500, 0.000], [0.000, 0.500, 0.500], [0.500, 0.000, 0.500]],
  "polymorph_energy_ev_per_atom": 0.000,
  "m_tot_mub_per_atom": 0.112,
  "n_ef_per_ev_fu": 3.62
}

(10)
{
  "formula": "NdGdScAg",
  "functional": "PBE",
  "state": "relaxed",
  "lattice_angstrom": [[0.000, 3.784, 3.784], [3.784, 0.000, 3.784], [3.784, 3.784, 0.000]],
  "species": ["Nd", "Gd", "Sc", "Ag"],
  "frac_coords": [[0.000, 0.000, 0.000], [0.500, 0.500, 0.500], [0.750, 0.750, 0.750], [0.250, 0.250, 0.250]],
  "m_tot_mub_per_atom": 1.883,
  "ef_mev_per_atom": 36,
  "n_ef_per_ev_fu": 4.88
}

(11)
{
  "formula": "BrO",
  "functional": "PBE",
  "state": "relaxed",
  "lattice_angstrom": [[4.403, 0.000, 0.000], [1.975, 3.999, 0.000], [1.716, 1.557, 5.528]],
  "species": ["Br", "Br", "O", "O"],
  "frac_coords": [[0.000, 0.000, 0.000], [0.092, 0.279, 0.421], [0.305, 0.578, 0.105], [0.872, 0.011, 0.741]],
  "polymorph_energy_ev_per_atom": 0.098,
  "m_tot_mub_per_atom": 0.000,
  "n_ef_per_ev_fu": 0.00
}

(12)
{
  "formula": "Tl6PtAu3",
  "functional": "PBE",
  "state": "relaxed",
  "lattice_angstrom": [[11.301, 0.000, 0.000], [0.000, 3.985, 0.000], [-5.136, 0.000, 11.356]],
  "species": ["Tl", "Tl", "Tl", "Tl", "Tl", "Tl", "Tl", "Tl", "Tl", "Tl", "Tl", "Tl", "Pt", "Pt", "Au", "Au", "Au", "Au", "Au", "Au"],
  "frac_coords": [[0.080, 0.250, 0.297], [0.134, 0.750, 0.549], [0.231, 0.750, 0.902], [0.242, 0.250, 0.132], [0.388, 0.250, 0.765], [0.392, 0.750, 0.371], [0.608, 0.250, 0.629], [0.612, 0.750, 0.235], [0.758, 0.750, 0.868], [0.769, 0.250, 0.098], [0.866, 0.250, 0.451], [0.920, 0.750, 0.703], [0.111, 0.250, 0.713], [0.889, 0.750, 0.287], [0.011, 0.750, 0.091], [0.321, 0.250, 0.512], [0.460, 0.250, 0.062], [0.540, 0.750, 0.938], [0.679, 0.750, 0.488], [0.989, 0.250, 0.909]],
  "m_tot_mub_per_atom": 0.000,
  "ef_mev_per_atom": -7,
  "n_ef_per_ev_fu": 2.98
}

(13)
{
  "formula": "Mg6Tl2Zn",
  "functional": "PBE",
  "state": "relaxed",
  "lattice_angstrom": [[8.004, 0.000, 0.000], [-4.002, 6.932, 0.000], [0.000, 0.000, 3.647]],
  "species": ["Mg", "Mg", "Mg", "Mg", "Mg", "Mg", "Tl", "Tl", "Zn"],
  "frac_coords": [[0.000, 0.260, 0.000], [0.000, 0.629, 0.500], [0.260, 0.000, 0.000], [0.371, 0.371, 0.500], [0.629, 0.000, 0.500], [0.740, 0.740, 0.000], [0.333, 0.667, 0.000], [0.667, 0.333, 0.000], [0.000, 0.000, 0.500]],
  "m_tot_mub_per_atom": 0.000,
  "ef_mev_per_atom": -59,
  "n_ef_per_ev_fu": 3.35
}